Compound: TlNiPdSe3
Source: the Alexandria database
Functional: PBE
Structure: relaxed

Lattice parameters (Å, degrees): 3.791 6.707 10.763 90.00 90.00 106.42
Sites, in units of the cell vectors:
Tl 0.723 0.446 0.750
Tl 0.277 0.554 0.250
Ni 0.396 0.791 0.750
Ni 0.604 0.209 0.250
Pd 0.000 0.000 0.500
Pd 0.000 0.000 0.000
Se 0.629 0.258 0.466
Se 0.371 0.742 0.534
Se 0.371 0.742 0.966
Se 0.629 0.258 0.034
Se 0.006 0.012 0.750
Se 0.994 0.988 0.250

Output
The uncorrected formation energy is -26 kJ/mol of atoms. The symmetry is Cmcm (63). The density of states at the Fermi level comes out at 6.9 states/eV/cell. The calculation puts the total energy at -50.8 eV per cell.

=====

Compound: Lu2AsRu
Source: the Alexandria database
Functional: PBE
Structure: relaxed

Lattice parameters (Å, degrees): 3.459 3.459 6.679 90.00 90.00 90.00
Sites, in units of the cell vectors:
Ru 0.500 0.500 0.000
As 0.500 0.500 0.500
Lu 0.000 0.000 0.759
Lu 0.000 0.000 0.241

Output
The symmetry is P4/mmm (123). The density of states at the Fermi level comes out at 2.5 states/eV/cell. The calculation puts the total energy at -26.1 eV per cell. The formation enthalpy at 0 K comes out at -302 kJ/mol of formula units.

=====

Compound: Ac2Mg16Rh
Source: the Alexandria database
Functional: PBE
Structure: relaxed

Lattice parameters (Å, degrees): 7.809 7.809 7.809 82.98 82.98 82.98
Sites, in units of the cell vectors:
Ac 0.679 0.679 0.679
Ac 0.336 0.336 0.336
Mg 0.709 0.000 0.291
Mg 0.000 0.291 0.709
Mg 0.291 0.709 0.000
Mg 0.000 0.709 0.291
Mg 0.709 0.291 0.000
Mg 0.291 0.000 0.709
Mg 0.350 0.847 0.350
Mg 0.847 0.350 0.350
Mg 0.350 0.350 0.847
Mg 0.657 0.151 0.657
Mg 0.151 0.657 0.657
Mg 0.657 0.657 0.151
Mg 0.992 0.521 0.992
Mg 0.521 0.992 0.992
Mg 0.992 0.992 0.521
Mg 0.077 0.077 0.077
Rh 0.891 0.891 0.891

Output
The symmetry is R3m (160). The density of states at the Fermi level comes out at 9.6 states/eV/cell. The calculation puts the total energy at -43.0 eV per cell. The formation enthalpy at 0 K comes out at -183 kJ/mol of formula units.

=====

Compound: CaPr2Sc
Source: the Alexandria database
Functional: PBE
Structure: relaxed

Lattice parameters (Å, degrees): 3.615 3.615 12.181 81.47 81.47 60.00
Sites, in units of the cell vectors:
Ca 0.500 0.500 0.501
Pr 0.076 0.076 0.773
Pr 0.258 0.258 0.226
Sc 0.667 0.667 0.000

Output
The symmetry is R3m (160). The density of states at the Fermi level comes out at 5.4 states/eV/cell. As for the energy above the lowest structure with this stoichiometry: 0.017 eV per atom. The calculation puts the total energy at -17.6 eV per cell. The formation enthalpy at 0 K comes out at 30 kJ/mol of formula units.

=====

Compound: Sr6TlPb2
Source: the Alexandria database
Functional: PBE
Structure: relaxed

Lattice parameters (Å, degrees): 7.728 9.085 11.084 90.00 84.46 90.00
Sites, in units of the cell vectors:
Sr 0.846 0.960 0.233
Sr 0.831 0.664 0.564
Sr 0.869 0.682 0.934
Sr 0.631 0.182 0.566
Sr 0.669 0.164 0.936
Sr 0.654 0.460 0.267
Sr 0.154 0.040 0.767
Sr 0.169 0.336 0.436
Sr 0.131 0.318 0.066
Sr 0.369 0.818 0.434
Sr 0.331 0.836 0.064
Sr 0.346 0.540 0.733
Tl 0.500 0.500 0.000
Tl 0.000 0.000 0.500
Pb 0.941 0.372 0.741
Pb 0.559 0.872 0.759
Pb 0.441 0.128 0.241
Pb 0.059 0.628 0.259

Output
The symmetry is P2_1/c (14). The density of states at the Fermi level comes out at 13.8 states/eV/cell. The calculation puts the total energy at -45.8 eV per cell. The formation enthalpy at 0 K comes out at -291 kJ/mol of formula units.

=====

Compound: Hf2VCo3
Source: the Alexandria database
Functional: PBE
Structure: relaxed

Lattice parameters (Å, degrees): 5.054 5.054 4.814 90.00 121.64 120.02
Sites, in units of the cell vectors:
Hf 0.744 0.372 0.116
Hf 0.256 0.628 0.884
V 0.000 0.000 0.000
Co 0.500 0.500 0.500
Co 0.000 0.000 0.500
Co 0.500 0.000 0.500

Output
The symmetry is R-3m (166). The density of states at the Fermi level comes out at 5.6 states/eV/cell. As for the energy above the lowest structure with this stoichiometry: 0.000 eV per atom. The calculation puts the total energy at -52.6 eV per cell. The formation enthalpy at 0 K comes out at -221 kJ/mol of formula units.